## LaTb8Th6 (PBE)

Data for a relaxed structure of LaTb8Th6.

Properties
**ΔE_f**: 159 meV/atom

a = 8.8763 Å, b = 8.8763 Å, c = 21.3951 Å
α = 90.00°, β = 90.00°, γ = 120.00°
Space group R-3 (No. 148, hexagonal axes)
Unique sites:
La  0.0000  0.0000  0.0000 [3 per cell]
Tb  0.0000  0.0000  0.4195 [6 per cell]
Tb  0.0592  0.2557  0.1337 [18 per cell]
Th  0.0227  0.7790  0.7082 [18 per cell]



## Li2CrReN4 (PBE)

Data for a relaxed structure of Li2CrReN4.

Properties
**Formation energy without anion corrections**: -378 meV per atom

a = 6.383 Å, b = 5.742 Å, c = 5.131 Å
α = 90.00°, β = 90.00°, γ = 90.00°
Space group Pmn2_1 (No. 31)
Unique sites:
Li  0.250  0.156  0.000 [4 per cell]
Cr  0.000  0.347  0.501 [2 per cell]
Re  0.000  0.647  0.001 [2 per cell]
N  0.000  0.350  0.856 [2 per cell]
N  0.000  0.637  0.367 [2 per cell]
N  0.247  0.200  0.422 [4 per cell]



## Tm5Al2 (PBE)

Data for a relaxed structure of Tm5Al2.

Properties
**ΔE_f**: -113 meV/atom

a = 4.472 Å, b = 37.142 Å, c = 4.591 Å
α = 90.00°, β = 90.00°, γ = 90.00°
Space group Cmcm (No. 63)
Unique sites:
Tm  0.000  0.035  0.250 [4 per cell]
Tm  0.000  0.112  0.750 [4 per cell]
Tm  0.000  0.247  0.250 [4 per cell]
Tm  0.000  0.326  0.750 [4 per cell]
Tm  0.000  0.461  0.250 [4 per cell]
Al  0.000  0.193  0.750 [4 per cell]
Al  0.000  0.407  0.750 [4 per cell]



## Sc2OsI2 (PBE)

Data for a relaxed structure of Sc2OsI2.

Properties
**Formation energy without anion corrections**: 757 meV per atom

a = 4.543 Å, b = 4.543 Å, c = 13.386 Å
α = 90.00°, β = 90.00°, γ = 90.00°
Space group I4/mmm (No. 139)
Unique sites:
Sc  0.000  0.000  0.107 [4 per cell]
Os  0.000  0.000  0.500 [2 per cell]
I  0.000  0.500  0.250 [4 per cell]